DFT (PBE with a Hubbard U) results for Ba5Cr3O12F after structural relaxation.

abc: 10.569 10.569 7.963
angles: 90.00 90.00 120.00
Site moments in Bohr magnetons follow the coordinates.
Positions (direct):
Ba  0.667  0.333  0.000  0.00
Ba  0.333  0.667  0.000  0.00
Ba  0.333  0.667  0.500  0.00
Ba  0.667  0.333  0.500  0.00
Ba  0.758  0.012  0.750  0.01
Ba  0.242  0.988  0.250  0.01
Ba  0.254  0.242  0.750  0.01
Ba  0.746  0.758  0.250  0.01
Ba  0.988  0.746  0.750  0.01
Ba  0.012  0.254  0.250  0.01
Cr  0.599  0.631  0.750  1.06
Cr  0.401  0.369  0.250  1.06
Cr  0.032  0.401  0.750  1.06
Cr  0.968  0.599  0.250  1.06
Cr  0.369  0.968  0.750  1.06
Cr  0.631  0.032  0.250  1.06
O  0.843  0.319  0.750  -0.02
O  0.157  0.681  0.250  -0.02
O  0.476  0.157  0.750  -0.02
O  0.524  0.843  0.250  -0.02
O  0.681  0.524  0.750  -0.02
O  0.319  0.476  0.250  -0.02
O  0.410  0.536  0.750  -0.02
O  0.590  0.464  0.250  -0.02
O  0.126  0.590  0.750  -0.02
O  0.874  0.410  0.250  -0.02
O  0.464  0.874  0.750  -0.02
O  0.536  0.126  0.250  -0.02
O  0.651  0.741  0.926  -0.01
O  0.349  0.259  0.074  -0.01
O  0.090  0.349  0.926  -0.01
O  0.349  0.259  0.426  -0.01
O  0.910  0.651  0.074  -0.01
O  0.651  0.741  0.574  -0.01
O  0.259  0.910  0.926  -0.01
O  0.910  0.651  0.426  -0.01
O  0.741  0.090  0.074  -0.01
O  0.090  0.349  0.574  -0.01
O  0.741  0.090  0.426  -0.01
O  0.259  0.910  0.574  -0.01
F  0.000  0.000  0.750  0.00
F  0.000  0.000  0.250  0.00

Summary:
**V**: 385.19 Å³/f.u.
**Total magnetization**: 0.143 μB per atom
**Total energy**: -6.810 eV per atom